Entry 1:
Here is Re2SnPb at its PBEsol-relaxed geometry from the Alexandria database. Energies are from SCAN.

a b c (Å): 4.6361 4.6361 4.6361
angles (deg): 60.00 60.00 60.00
Last column: nearest neighbours and their distance in Å.
Element x y z (fractional)
1 Re 0.2500 0.2500 0.2500  4 Sn 2.84, 4 Pb 2.84
2 Re 0.7500 0.7500 0.7500  4 Pb 2.84, 4 Sn 2.84
3 Sn 0.0000 0.0000 0.0000  8 Re 2.84
4 Pb 0.5000 0.5000 0.5000  8 Re 2.84

- Energy: -62.363 eV/atom
- Density: 16457 kg/m3
- ΔE_f: 1111 meV/atom



Entry 2:
Here is Re3SnPb at its PBEsol-relaxed geometry from the Alexandria database. Energies are from SCAN.

a b c (Å): 4.9216 4.9216 4.9216
angles (deg): 90.00 90.00 90.00
Last column: nearest neighbours and their distance in Å.
Element x y z (fractional)
1 Re 0.0000 0.0000 0.5000  2 Pb 2.46
2 Re 0.0000 0.5000 0.0000  2 Pb 2.46
3 Re 0.5000 0.0000 0.0000  2 Pb 2.46
4 Sn 0.5000 0.5000 0.5000  12 Re 3.48
5 Pb 0.0000 0.0000 0.0000  6 Re 2.46

- Energy: -61.824 eV/atom
- Density: 12321 kg/m3
- ΔE_f: 3175 meV/atom



Entry 3:
Here is SrRe2Pb at its PBEsol-relaxed geometry from the Alexandria database. Energies are from SCAN.

a b c (Å): 6.0481 6.0481 6.0481
angles (deg): 147.12 129.33 61.73
Last column: nearest neighbours and their distance in Å.
Element x y z (fractional)
1 Sr 0.0000 0.0000 0.0000  6 Re 3.14-3.33, 4 Pb 3.39-3.45, 2 Sr 3.42
2 Re 0.5451 0.5451 0.0000  2 Re 2.36
3 Re 0.7020 0.2020 0.5000  2 Re 2.36
4 Pb 0.2890 0.7890 0.5000  6 Re 3.16-3.23, 4 Sr 3.39-3.45, 2 Pb 3.42

- Energy: -59.315 eV/atom
- Density: 12045 kg/m3
- ΔE_f: 748 meV/atom



Entry 4:
Here is SrRe2Pb at its PBEsol-relaxed geometry from the Alexandria database. Energies are from SCAN.

a b c (Å): 5.9411 5.9411 2.8185
angles (deg): 101.51 101.51 120.14
Last column: nearest neighbours and their distance in Å.
Element x y z (fractional)
1 Sr 0.0000 0.0000 0.0000  2 Sr 2.82, 2 Pb 2.96, 4 Re 3.02
2 Re 0.0000 0.5000 0.5000  4 Re 2.82-2.96, 2 Pb 3.02, 2 Sr 3.02
3 Re 0.5000 0.0000 0.5000  4 Re 2.82-2.96, 2 Pb 3.02, 2 Sr 3.02
4 Pb 0.5000 0.5000 0.0000  2 Pb 2.82, 2 Sr 2.96, 4 Re 3.02

- Energy: -58.788 eV/atom
- Density: 14052 kg/m3
- ΔE_f: 1275 meV/atom



Entry 5:
Here is SrRePb2 at its PBEsol-relaxed geometry from the Alexandria database. Energies are from SCAN.

a b c (Å): 10.6001 10.6001 10.6001
angles (deg): 18.24 18.24 18.24
Last column: nearest neighbours and their distance in Å.
Element x y z (fractional)
1 Sr 0.0000 0.0000 0.0000  3 Re 3.06, 6 Sr 3.36
2 Re 0.7422 0.7422 0.7422  3 Pb 2.82, 3 Sr 3.06
3 Pb 0.2352 0.2352 0.2352  9 Pb 3.36-3.52, 3 Sr 3.63
4 Pb 0.4746 0.4746 0.4746  3 Re 2.82

- Energy: -60.417 eV/atom
- Offset from the most stable computed form: 153.0 meV per atom
- Density: 11217 kg/m3
- ΔE_f: 816 meV/atom



Entry 6:
Here is SrRePb2 at its PBEsol-relaxed geometry from the Alexandria database. Energies are from SCAN.

a b c (Å): 4.9228 5.8387 5.8387
angles (deg): 38.39 90.00 90.00
Last column: nearest neighbours and their distance in Å.
Element x y z (fractional)
1 Sr 0.0000 0.0000 0.0000  3 Pb 3.06-3.12, 4 Re 3.37
2 Re 0.5000 0.6156 0.6156  4 Pb 2.73-3.04
3 Pb 0.0000 0.7228 0.7228  2 Re 2.73, 1 Sr 3.06
4 Pb 0.5000 0.3298 0.3298  3 Re 3.04-3.15, 4 Pb 3.34

- Energy: -60.570 eV/atom
- Offset from the most stable computed form: 0.0 meV per atom
- Density: 10965 kg/m3
- ΔE_f: 663 meV/atom



Entry 7:
Here is SrRe2Pb at its PBEsol-relaxed geometry from the Alexandria database. Energies are from SCAN.

a b c (Å): 3.0436 4.5068 6.4803
angles (deg): 90.00 90.00 90.00
Last column: nearest neighbours and their distance in Å.
Element x y z (fractional)
1 Sr 0.0000 0.0000 0.0000  2 Sr 3.04, 2 Pb 3.24
2 Re 0.5000 0.5000 0.3224  1 Re 2.30
3 Re 0.5000 0.5000 0.6776  1 Re 2.30
4 Pb 0.0000 0.0000 0.5000  8 Re 2.95, 2 Pb 3.04, 2 Sr 3.24

- Energy: -58.931 eV/atom
- Density: 12464 kg/m3
- ΔE_f: 1132 meV/atom



Entry 8:
Here is SrRe2Pb at its PBEsol-relaxed geometry from the Alexandria database. Energies are from SCAN.

a b c (Å): 2.8201 2.8201 10.2366
angles (deg): 90.00 90.00 90.00
Last column: nearest neighbours and their distance in Å.
Element x y z (fractional)
1 Sr 0.0000 0.0000 0.0000  4 Sr 2.82
2 Re 0.5000 0.5000 0.2541  4 Re 2.82
3 Re 0.5000 0.5000 0.7459  4 Re 2.82
4 Pb 0.0000 0.0000 0.5000  4 Pb 2.82

- Energy: -58.579 eV/atom
- Density: 13609 kg/m3
- ΔE_f: 1484 meV/atom



Entry 9:
Here is Ta2RePb at its PBEsol-relaxed geometry from the Alexandria database. Energies are from SCAN.

a b c (Å): 3.1807 3.9034 5.9872
angles (deg): 90.00 90.00 90.00
Last column: nearest neighbours and their distance in Å.
Element x y z (fractional)
1 Ta 0.0000 0.0000 0.0000  4 Re 2.77, 4 Ta 2.87, 2 Pb 2.93-3.06
2 Ta 0.5000 0.5000 0.2294  1 Re 2.53
3 Re 0.5000 0.5000 0.8063  5 Ta 2.53-2.77
4 Pb 0.0000 0.0000 0.5110  6 Ta 2.93-3.06, 4 Re 3.08, 2 Pb 3.18

- Energy: -69.661 eV/atom
- Density: 16873 kg/m3
- ΔE_f: 350 meV/atom



Entry 10:
Here is TaRePb2 at its PBEsol-relaxed geometry from the Alexandria database. Energies are from SCAN.

a b c (Å): 4.7757 4.7757 3.3764
angles (deg): 90.00 90.00 90.00
Last column: nearest neighbours and their distance in Å.
Element x y z (fractional)
1 Ta 0.0000 0.0000 0.0000  8 Pb 2.92
2 Re 0.5000 0.5000 0.0000  8 Pb 2.92
3 Pb 0.0000 0.5000 0.5000  4 Ta 2.92, 4 Re 2.92
4 Pb 0.5000 0.0000 0.5000  4 Ta 2.92, 4 Re 2.92

- Energy: -71.229 eV/atom
- Offset from the most stable computed form: 77.6 meV per atom
- Density: 16853 kg/m3
- ΔE_f: 1082 meV/atom



Entry 11:
Here is TaRePb2 at its PBEsol-relaxed geometry from the Alexandria database. Energies are from SCAN.

a b c (Å): 5.6835 5.6835 5.6835
angles (deg): 146.49 126.72 64.43
Last column: nearest neighbours and their distance in Å.
Element x y z (fractional)
1 Ta 0.0000 0.0000 0.0000  4 Pb 3.03, 4 Re 3.03, 2 Ta 3.28
2 Re 0.5000 0.5000 0.0000  4 Pb 2.79, 4 Ta 3.03
3 Pb 0.2648 0.7648 0.5000  2 Re 2.79, 2 Ta 3.03, 4 Pb 3.04
4 Pb 0.7352 0.2352 0.5000  2 Re 2.79, 2 Ta 3.03, 4 Pb 3.04

- Energy: -71.306 eV/atom
- Offset from the most stable computed form: 0.0 meV per atom
- Density: 16158 kg/m3
- ΔE_f: 1004 meV/atom



Entry 12:
Here is Ta2RePb at its PBEsol-relaxed geometry from the Alexandria database. Energies are from SCAN.

a b c (Å): 5.3396 5.3396 5.3396
angles (deg): 142.42 128.83 65.20
Last column: nearest neighbours and their distance in Å.
Element x y z (fractional)
1 Ta 0.2353 0.2353 0.0000  2 Re 2.73, 4 Ta 2.89, 2 Pb 2.94
2 Ta 0.7647 0.7647 0.0000  2 Re 2.73, 4 Ta 2.89, 2 Pb 2.94
3 Re 0.0000 0.5000 0.5000  4 Ta 2.73, 4 Pb 2.88
4 Pb 0.5000 0.0000 0.5000  4 Re 2.88, 8 Ta 2.94-3.13

- Energy: -69.667 eV/atom
- Density: 17573 kg/m3
- ΔE_f: 344 meV/atom



Entry 13:
Here is ZrTaRePb2 at its PBEsol-relaxed geometry from the Alexandria database. Energies are from SCAN.

a b c (Å): 5.3667 5.3667 4.7127
angles (deg): 90.00 90.00 90.00
Last column: nearest neighbours and their distance in Å.
Element x y z (fractional)
1 Zr 0.0000 0.0000 0.0000  2 Re 2.36
2 Ta 0.5000 0.5000 0.5000  8 Pb 3.57, 4 Re 3.79
3 Re 0.0000 0.0000 0.5000  2 Zr 2.36
4 Pb 0.0000 0.5000 0.0000  2 Zr 2.68
5 Pb 0.5000 0.0000 0.0000  2 Zr 2.68

- Energy: -62.001 eV/atom
- Density: 10677 kg/m3
- ΔE_f: 1987 meV/atom



Entry 14:
Here is Re2TcPb at its PBEsol-relaxed geometry from the Alexandria database. Energies are from SCAN.

a b c (Å): 5.2623 5.2623 2.8639
angles (deg): 99.38 99.38 119.23
Last column: nearest neighbours and their distance in Å.
Element x y z (fractional)
1 Re 0.0000 0.5000 0.0000  4 Re 2.66-2.86, 2 Tc 2.78, 2 Pb 2.78
2 Re 0.5000 0.0000 0.0000  4 Re 2.66-2.86, 2 Tc 2.78, 2 Pb 2.78
3 Tc 0.0000 0.0000 0.5000  2 Pb 2.66, 4 Re 2.78, 2 Tc 2.86
4 Pb 0.5000 0.5000 0.5000  2 Tc 2.66, 4 Re 2.78, 2 Pb 2.86

- Energy: -62.202 eV/atom
- Density: 17175 kg/m3
- ΔE_f: 1057 meV/atom



Entry 15:
Here is Re2TcPb at its PBEsol-relaxed geometry from the Alexandria database. Energies are from SCAN.

a b c (Å): 2.9217 2.9217 7.7080
angles (deg): 90.00 90.00 90.00
Last column: nearest neighbours and their distance in Å.
Element x y z (fractional)
1 Re 0.0000 0.0000 0.0000  8 Re 2.68-2.92
2 Re 0.5000 0.5000 0.2207  4 Tc 2.67, 8 Re 2.68-2.92
3 Tc 0.0000 0.0000 0.4409  4 Re 2.67, 4 Tc 2.92, 4 Pb 2.96
4 Pb 0.5000 0.5000 0.7166  4 Pb 2.92, 4 Tc 2.96, 4 Re 3.01

- Energy: -62.666 eV/atom
- Density: 17101 kg/m3
- ΔE_f: 593 meV/atom



Entry 16:
Here is Re2TcPb at its PBEsol-relaxed geometry from the Alexandria database. Energies are from SCAN.

a b c (Å): 5.2700 5.2700 5.2700
angles (deg): 144.32 130.34 62.64
Last column: nearest neighbours and their distance in Å.
Element x y z (fractional)
1 Re 0.0000 0.0000 0.0000  2 Re 2.73, 4 Pb 2.74, 2 Tc 2.82
2 Re 0.7561 0.2561 0.5000  2 Re 2.73, 4 Tc 2.74, 2 Pb 2.78
3 Tc 0.2565 0.7565 0.5000  6 Re 2.74-2.82, 2 Pb 2.75
4 Pb 0.5042 0.5042 0.0000  6 Re 2.74-2.78, 2 Tc 2.75

- Energy: -62.352 eV/atom
- Density: 17485 kg/m3
- ΔE_f: 907 meV/atom



Entry 17:
Here is ReTc2Pb at its PBEsol-relaxed geometry from the Alexandria database. Energies are from SCAN.

a b c (Å): 4.7961 4.7961 4.9963
angles (deg): 101.35 101.35 35.99
Last column: nearest neighbours and their distance in Å.
Element x y z (fractional)
1 Re 0.0000 0.0000 0.0000  6 Tc 2.63-2.81, 4 Pb 2.90
2 Tc 0.2646 0.2646 0.7968  2 Tc 2.57, 3 Re 2.63-2.81, 1 Pb 2.85
3 Tc 0.7354 0.7354 0.2032  2 Tc 2.57, 3 Re 2.63-2.81, 1 Pb 2.85
4 Pb 0.5000 0.5000 0.5000  6 Tc 2.85-2.96, 4 Re 2.90, 2 Pb 2.96

- Energy: -53.617 eV/atom
- Density: 14811 kg/m3
- ΔE_f: 632 meV/atom



Entry 18:
Here is ReTc3Pb at its PBEsol-relaxed geometry from the Alexandria database. Energies are from SCAN.

a b c (Å): 4.6821 4.6821 4.6821
angles (deg): 90.00 90.00 90.00
Last column: nearest neighbours and their distance in Å.
Element x y z (fractional)
1 Re 0.0000 0.0000 0.0000  6 Tc 2.34
2 Tc 0.0000 0.0000 0.5000  2 Re 2.34
3 Tc 0.0000 0.5000 0.0000  2 Re 2.34
4 Tc 0.5000 0.0000 0.0000  2 Re 2.34
5 Pb 0.5000 0.5000 0.5000  12 Tc 3.31

- Energy: -48.880 eV/atom
- Density: 11121 kg/m3
- ΔE_f: 1531 meV/atom



Entry 19:
Here is Re2TePb at its PBEsol-relaxed geometry from the Alexandria database. Energies are from SCAN.

a b c (Å): 4.6476 4.6476 4.6476
angles (deg): 60.00 60.00 60.00
Last column: nearest neighbours and their distance in Å.
Element x y z (fractional)
1 Re 0.2500 0.2500 0.2500  4 Pb 2.85, 4 Te 2.85
2 Re 0.7500 0.7500 0.7500  4 Pb 2.85, 4 Te 2.85
3 Te 0.0000 0.0000 0.0000  8 Re 2.85
4 Pb 0.5000 0.5000 0.5000  8 Re 2.85

- Energy: -62.662 eV/atom
- Offset from the most stable computed form: 151.4 meV per atom
- Density: 16544 kg/m3
- Energy relative to the elements, uncorrected: 4.6 eV per formula unit



Entry 20:
Here is Re2TePb at its PBEsol-relaxed geometry from the Alexandria database. Energies are from SCAN.

a b c (Å): 4.6228 4.6228 5.7844
angles (deg): 102.65 102.65 39.29
Last column: nearest neighbours and their distance in Å.
Element x y z (fractional)
1 Re 0.2448 0.2448 0.2971  3 Te 2.66-2.74, 2 Re 2.80, 2 Pb 2.86
2 Re 0.7552 0.7552 0.7029  3 Te 2.66-2.74, 2 Re 2.80, 2 Pb 2.86
3 Te 0.0000 0.0000 0.5000  6 Re 2.66-2.74
4 Pb 0.5000 0.5000 0.0000  6 Re 2.86-3.11, 2 Pb 3.11

- Energy: -62.775 eV/atom
- Offset from the most stable computed form: 37.7 meV per atom
- Density: 15426 kg/m3
- Energy relative to the elements, uncorrected: 4.1 eV per formula unit